This record from the Alexandria database describes Sr2LaTl after structural relaxation. The functional is PBE.

Structure (CIF):
```
data_Sr2LaTl
_symmetry_space_group_name_H-M 'P 1'
_symmetry_Int_Tables_number 1
_symmetry_space_group_name_Hall 'P 1'
_cell_length_a 6.013
_cell_length_b 6.013
_cell_length_c 6.013
_cell_angle_alpha 60.00
_cell_angle_beta 60.00
_cell_angle_gamma 60.00
loop_
_atom_site_label
_atom_site_type_symbol
_atom_site_fract_x
_atom_site_fract_y
_atom_site_fract_z
Tl1 Tl 0.500 0.500 0.500
La1 La 0.000 0.000 0.000
Sr1 Sr 0.750 0.750 0.750
Sr2 Sr 0.250 0.250 0.250
```

Output
formation energy	0.0774	eV/atom
magnetization	1.93	μB per formula unit
polymorph energy (0 for the lowest one)	239	meV per atom
symmetry	Fm-3m (225)
V	38.442	Å³ per atom